Entry 1:
Dy6Tc2Pt GGA-PBE optimized geometry; DOS(E_F) = 17.39 states/eV/cell; crystal system = orthorhombic; energy = -6.365 eV/atom; space-group type = Immm (71)
1.0
0.891 -2.583 -7.886
5.612 -3.784 4.883
-7.579 -1.909 2.927
Dy Pt Tc
12 2 4
direct
0.081 0.256 0.824
0.309 0.643 0.335
0.691 0.026 0.335
0.919 0.744 0.176
0.432 0.256 0.176
0.806 0.737 0.543
0.691 0.357 0.665
0.194 0.737 0.931
0.568 0.744 0.824
0.309 0.974 0.665
0.806 0.263 0.069
0.194 0.263 0.457
0.000 0.000 0.000
0.000 0.500 0.500
0.500 0.616 0.116
0.500 0.384 0.884
0.673 0.000 0.673
0.327 0.000 0.327

---

Entry 2:
Dy8TcPt2 GGA-PBE optimized geometry; DOS(E_F) = 11.19 states/eV/cell; crystal system = monoclinic; energy = -5.816 eV/atom; space-group type = Cm (8)
1.0
5.717 0.049 -0.966
-1.930 6.801 -2.950
-0.077 -0.196 7.657
Dy Pt Tc
8 2 1
direct
0.580 0.081 0.329
0.173 0.363 0.363
0.386 0.924 0.675
0.991 0.784 0.214
0.580 0.329 0.081
0.991 0.214 0.784
0.386 0.675 0.924
0.815 0.647 0.647
0.497 0.697 0.316
0.497 0.316 0.697
0.102 0.006 0.006

---

Entry 3:
DyThTcPt GGA-PBE optimized geometry; DOS(E_F) = 2.77 states/eV/cell; crystal system = cubic; energy = -7.668 eV/atom; space-group type = F-43m (216)
1.0
4.990 0.000 0.000
2.495 4.322 0.000
2.495 1.441 4.075
Tc Th Dy Pt
1 1 1 1
direct
0.250 0.250 0.250
0.500 0.500 0.500
0.000 0.000 0.000
0.750 0.750 0.750

---

Entry 4:
DyTmTcPt GGA-PBE optimized geometry; DOS(E_F) = 2.91 states/eV/cell; crystal system = cubic; energy = -6.956 eV/atom; space-group type = F-43m (216)
1.0
4.839 0.000 0.000
2.419 4.191 0.000
2.419 1.397 3.951
Dy Tc Pt Tm
1 1 1 1
direct
0.500 0.500 0.500
0.250 0.250 0.250
0.750 0.750 0.750
0.000 0.000 0.000

---

Entry 5:
Dy5Te2Pt GGA-PBE optimized geometry; DOS(E_F) = 13.41 states/eV/cell; crystal system = orthorhombic; energy = -5.160 eV/atom; energy relative to the elements, uncorrected = -0.74 eV/atom; space-group type = Cmcm (63)
1.0
-2.868 -1.455 4.945
-1.698 -3.387 -5.500
9.682 -9.454 2.834
Dy Te Pt
10 4 2
direct
0.613 0.226 0.597
0.613 0.226 0.903
0.938 0.876 0.617
0.938 0.876 0.883
0.062 0.124 0.117
0.387 0.774 0.097
0.660 0.321 0.250
0.387 0.774 0.403
0.340 0.679 0.750
0.062 0.124 0.383
0.196 0.392 0.930
0.804 0.608 0.430
0.196 0.392 0.570
0.804 0.608 0.070
0.771 0.543 0.750
0.229 0.457 0.250

---

Entry 6:
Dy5Te2Pt2 GGA-PBE optimized geometry; DOS(E_F) = 16.72 states/eV/cell; crystal system = orthorhombic; energy = -5.808 eV/atom; energy relative to the elements, uncorrected = -1.21 eV/atom; space-group type = Cmce (64)
1.0
7.346 0.000 2.667
0.000 7.808 0.000
1.007 0.000 8.678
Dy Pt Te
10 4 4
direct
0.221 0.158 0.239
0.040 0.658 0.239
0.779 0.842 0.761
0.279 0.658 0.761
0.540 0.842 0.239
0.000 0.000 0.000
0.960 0.342 0.761
0.460 0.158 0.761
0.500 0.500 0.000
0.721 0.342 0.239
0.639 0.136 0.000
0.139 0.364 0.000
0.361 0.864 0.000
0.861 0.636 0.000
0.707 0.500 0.585
0.207 0.000 0.585
0.293 0.500 0.415
0.793 0.000 0.415

---

Entry 7:
Dy2TePt GGA-PBE optimized geometry; DOS(E_F) = 1.91 states/eV/cell; crystal system = trigonal; energy = -5.878 eV/atom; offset from the most stable computed form = 0.019 eV/f.u.; energy relative to the elements, uncorrected = -1.28 eV/atom; space-group type = R-3m (166)
1.0
-2.546 1.872 -2.680
-1.222 -3.435 1.969
-0.612 3.973 6.568
Te Dy Pt
1 2 1
direct
0.000 0.500 0.500
0.526 0.263 0.788
0.474 0.737 0.212
0.000 0.000 0.000

---

Entry 8:
Dy6Te5Pt GGA-PBE optimized geometry; DOS(E_F) = 4.22 states/eV/cell; crystal system = monoclinic; energy = -5.453 eV/atom; energy relative to the elements, uncorrected = -1.34 eV/atom; space-group type = C2/m (12)
1.0
7.383 -0.676 -1.338
-4.844 6.967 -2.042
0.029 -0.528 7.538
Te Pt Dy
5 1 6
direct
0.000 0.500 0.000
0.681 0.181 0.362
0.336 0.336 0.672
0.319 0.819 0.638
0.664 0.664 0.328
0.000 0.000 0.000
0.148 0.373 0.299
0.852 0.627 0.701
0.545 0.781 0.000
0.848 0.073 0.701
0.455 0.219 0.000
0.152 0.927 0.299

---

Entry 9:
Dy7Te2Pt2 GGA-PBE optimized geometry; DOS(E_F) = 8.81 states/eV/cell; crystal system = orthorhombic; energy = -5.622 eV/atom; energy relative to the elements, uncorrected = -1.02 eV/atom; space-group type = Imm2 (44)
1.0
9.444 0.009 -0.001
3.670 8.701 0.001
-4.501 -7.451 3.662
Dy Te Pt
7 2 2
direct
0.287 0.871 0.416
0.911 0.643 0.268
0.308 0.684 0.624
0.546 0.129 0.416
0.999 0.000 0.999
0.940 0.316 0.624
0.624 0.357 0.268
0.663 0.000 0.663
0.261 0.500 0.761
0.164 0.237 0.926
0.689 0.763 0.926

---

Entry 10:
Dy2TePt GGA-PBE optimized geometry; DOS(E_F) = 0.89 states/eV/cell; crystal system = trigonal; energy = -5.883 eV/atom; offset from the most stable computed form = 0.000 eV/f.u.; energy relative to the elements, uncorrected = -1.29 eV/atom; space-group type = R3m (160)
1.0
4.183 0.000 0.000
2.091 3.622 0.000
2.091 1.207 7.256
Te Dy Pt
1 2 1
direct
0.500 0.500 0.500
0.069 0.069 0.792
0.264 0.264 0.207
0.666 0.666 0.001

---

Entry 11:
Dy5Te4Pt GGA-PBE optimized geometry; DOS(E_F) = 6.26 states/eV/cell; crystal system = tetragonal; energy = -5.432 eV/atom; energy relative to the elements, uncorrected = -1.27 eV/atom; space-group type = I4/mmm (139)
1.0
4.217 0.000 -0.594
-0.084 4.216 -0.594
0.092 0.094 15.912
Dy Te Pt
5 4 1
direct
0.500 0.500 0.000
0.086 0.086 0.173
0.290 0.290 0.580
0.914 0.914 0.827
0.710 0.710 0.420
0.191 0.191 0.382
0.606 0.606 0.212
0.394 0.394 0.788
0.809 0.809 0.618
0.000 0.000 0.000

---

Entry 12:
Dy3TePt GGA-PBE optimized geometry; DOS(E_F) = 6.95 states/eV/cell; crystal system = orthorhombic; energy = -5.599 eV/atom; energy relative to the elements, uncorrected = -1.00 eV/atom; space-group type = Cmcm (63)
1.0
4.095 0.000 0.000
-2.047 6.781 0.000
0.000 0.000 10.268
Dy Te Pt
6 2 2
direct
0.070 0.141 0.750
0.365 0.730 0.947
0.635 0.270 0.447
0.365 0.730 0.553
0.635 0.270 0.053
0.930 0.859 0.250
0.749 0.498 0.750
0.251 0.502 0.250
0.000 0.000 0.500
0.000 0.000 0.000

---

Entry 13:
Dy4Te2Pt GGA-PBE optimized geometry; DOS(E_F) = 8.02 states/eV/cell; crystal system = orthorhombic; energy = -5.491 eV/atom; energy relative to the elements, uncorrected = -1.10 eV/atom; space-group type = Pbam (55)
1.0
-2.148 0.214 3.725
-6.838 -0.440 -3.917
0.290 -12.298 0.875
Te Dy Pt
4 8 2
direct
0.500 0.570 0.332
0.500 0.070 0.168
0.500 0.930 0.832
0.500 0.430 0.668
0.500 0.705 0.054
0.000 0.356 0.204
0.500 0.205 0.446
0.500 0.295 0.946
0.000 0.144 0.704
0.500 0.795 0.554
0.000 0.644 0.796
0.000 0.856 0.296
0.000 0.500 0.000
0.000 0.000 0.500

---

Entry 14:
DyThTePt GGA-PBE optimized geometry; DOS(E_F) = 3.62 states/eV/cell; crystal system = trigonal; energy = -6.505 eV/atom; energy relative to the elements, uncorrected = -1.20 eV/atom; space-group type = R3m (160)
1.0
-1.199 2.329 3.277
0.918 -4.060 0.534
7.719 1.612 -1.009
Te Th Dy Pt
1 1 1 1
direct
0.467 0.131 0.614
0.331 0.564 0.910
0.943 0.370 0.328
0.136 0.966 0.118

---

Entry 15:
Dy6TlTe3Pt2 GGA-PBE optimized geometry; DOS(E_F) = 7.33 states/eV/cell; crystal system = monoclinic; energy = -5.393 eV/atom; energy relative to the elements, uncorrected = -1.10 eV/atom; space-group type = C2/m (12)
1.0
4.157 0.000 0.000
0.000 8.901 -0.188
-2.078 -3.094 9.154
Te Pt Dy Tl
3 2 6 1
direct
0.500 0.500 0.000
0.836 0.173 0.672
0.164 0.827 0.328
0.837 0.679 0.674
0.163 0.321 0.326
0.670 0.103 0.340
0.321 0.447 0.641
0.330 0.897 0.660
0.006 0.258 0.012
0.994 0.742 0.988
0.679 0.553 0.359
0.500 0.000 0.000

---

Entry 16:
Dy2ThPt GGA-PBE optimized geometry; DOS(E_F) = 3.22 states/eV/cell; crystal system = trigonal; energy = -5.937 eV/atom; offset from the most stable computed form = 1.526 eV/f.u.; space-group type = R-3m (166)
1.0
-0.691 3.525 0.120
-2.531 1.260 2.219
6.275 2.772 8.495
Dy Th Pt
2 1 1
direct
0.892 0.892 0.324
0.108 0.108 0.676
0.000 0.000 0.000
0.500 0.500 0.500

---

Entry 17:
DyTh2Pt2 GGA-PBE optimized geometry; DOS(E_F) = 10.78 states/eV/cell; crystal system = tetragonal; energy = -7.319 eV/atom; space-group type = P4/mbm (127)
1.0
3.887 0.000 0.000
0.000 8.066 0.000
0.000 0.000 8.066
Dy Th Pt
2 4 4
direct
0.000 0.500 0.500
0.000 0.000 0.000
0.500 0.331 0.169
0.500 0.169 0.669
0.500 0.831 0.331
0.500 0.669 0.831
0.000 0.868 0.632
0.000 0.132 0.368
0.000 0.368 0.868
0.000 0.632 0.132

---

Entry 18:
Dy2Th2Pt15 GGA-PBE optimized geometry; DOS(E_F) = 18.19 states/eV/cell; crystal system = trigonal; energy = -6.819 eV/atom; space-group type = R-3m (166)
1.0
-7.019 -0.425 1.054
-1.488 -4.552 -5.256
-0.031 -5.963 3.872
Pt Th Dy
15 2 2
direct
0.000 0.683 0.317
0.653 0.163 0.653
0.683 0.000 0.317
0.000 0.000 0.500
0.347 0.837 0.347
0.317 0.683 0.000
0.163 0.653 0.653
0.653 0.653 0.163
0.500 0.000 0.000
0.000 0.317 0.683
0.837 0.347 0.347
0.683 0.317 0.000
0.317 0.000 0.683
0.347 0.347 0.837
0.000 0.500 0.000
0.643 0.643 0.643
0.357 0.357 0.357
0.106 0.106 0.106
0.894 0.894 0.894

---

Entry 19:
Dy2Th2Pt3 GGA-PBE optimized geometry; DOS(E_F) = 14.96 states/eV/cell; crystal system = monoclinic; energy = -7.044 eV/atom; space-group type = C2/m (12)
1.0
-0.598 -4.070 -0.461
5.291 -2.086 -7.039
7.892 -3.876 5.397
Pt Th Dy
6 4 4
direct
0.081 0.981 0.857
0.352 0.780 0.516
0.919 0.019 0.143
0.648 0.220 0.484
0.180 0.547 0.093
0.820 0.453 0.907
0.581 0.786 0.051
0.419 0.214 0.949
0.302 0.059 0.338
0.698 0.941 0.662
0.018 0.318 0.647
0.297 0.623 0.784
0.982 0.682 0.353
0.703 0.377 0.216

---

Entry 20:
DyTh3Pt3 GGA-PBE optimized geometry; DOS(E_F) = 26.18 states/eV/cell; crystal system = orthorhombic; energy = -7.459 eV/atom; space-group type = Pnma (62)
1.0
4.085 0.000 0.000
0.000 12.552 0.000
0.000 0.000 14.430
Dy Pt Th
4 12 12
direct
0.250 0.012 0.811
0.250 0.512 0.689
0.750 0.988 0.189
0.750 0.488 0.311
0.250 0.061 0.066
0.250 0.561 0.434
0.750 0.209 0.334
0.750 0.381 0.093
0.250 0.791 0.666
0.750 0.939 0.934
0.750 0.881 0.407
0.750 0.709 0.166
0.250 0.291 0.834
0.750 0.439 0.566
0.250 0.619 0.907
0.250 0.119 0.593
0.250 0.817 0.032
0.750 0.244 0.695
0.250 0.256 0.195
0.250 0.756 0.305
0.750 0.455 0.894
0.250 0.317 0.468
0.750 0.955 0.606
0.750 0.744 0.805
0.250 0.545 0.106
0.250 0.045 0.394
0.750 0.183 0.968
0.750 0.683 0.532